Record 1
## RbAcBi2O5 (PBE-GGA)

Data for RbAcBi2O5 after structural relaxation.

Cell and atoms, written as CIF:
```
data_RbAcBi2O5
_cell_length_a 4.389
_cell_length_b 4.389
_cell_length_c 9.190
_cell_angle_alpha 90.00
_cell_angle_beta 90.00
_cell_angle_gamma 90.00
_symmetry_space_group_name_H-M 'P 1'
_symmetry_Int_Tables_number 1
_symmetry_space_group_name_Hall 'P 1'
loop_
_atom_site_label
_atom_site_type_symbol
_atom_site_fract_x
_atom_site_fract_y
_atom_site_fract_z
Rb1 Rb 0.000 0.000 0.000
Ac1 Ac 0.000 0.000 0.500
Bi1 Bi 0.500 0.500 0.248
Bi2 Bi 0.500 0.500 0.752
O1 O 0.000 0.500 0.335
O2 O 0.000 0.500 0.665
O3 O 0.500 0.000 0.335
O4 O 0.500 0.000 0.665
O5 O 0.500 0.500 0.000
```

For the final energy, the calculation gives -6.026 eV/atom. The calculated volume is 19.68 Å³/atom. The space group is P4/mmm (123). The calculation puts the magnetic moment at 0.00 μB per cell.

Record 2
## Rb3AcBi2O6 (PBE-GGA)

Data for Rb3AcBi2O6 after structural relaxation.

Cell and atoms, written as CIF:
```
data_Rb3AcBi2O6
_cell_length_a 6.591
_cell_length_b 6.591
_cell_length_c 7.653
_cell_angle_alpha 90.00
_cell_angle_beta 90.00
_cell_angle_gamma 120.00
_symmetry_space_group_name_H-M 'P 1'
_symmetry_Int_Tables_number 1
_symmetry_space_group_name_Hall 'P 1'
loop_
_atom_site_label
_atom_site_type_symbol
_atom_site_fract_x
_atom_site_fract_y
_atom_site_fract_z
Rb1 Rb 0.000 0.000 0.000
Rb2 Rb 0.333 0.667 0.637
Rb3 Rb 0.667 0.333 0.363
Ac1 Ac 0.000 0.000 0.500
Bi1 Bi 0.333 0.667 0.172
Bi2 Bi 0.667 0.333 0.828
O1 O 0.174 0.348 0.305
O2 O 0.174 0.826 0.305
O3 O 0.348 0.174 0.695
O4 O 0.652 0.826 0.305
O5 O 0.826 0.174 0.695
O6 O 0.826 0.652 0.695
```

For the final energy, the calculation gives -5.492 eV/atom. The calculated volume is 23.99 Å³/atom. The space group is P-3m1 (164). The calculation puts the magnetic moment at 0.00 μB per cell.

Record 3
## Rb4Ac3BiO8 (PBE-GGA)

Data for Rb4Ac3BiO8 after structural relaxation.

Cell and atoms, written as CIF:
```
data_Rb4Ac3BiO8
_cell_length_a 7.990
_cell_length_b 7.990
_cell_length_c 7.990
_cell_angle_alpha 57.23
_cell_angle_beta 57.23
_cell_angle_gamma 57.23
_symmetry_space_group_name_H-M 'P 1'
_symmetry_Int_Tables_number 1
_symmetry_space_group_name_Hall 'P 1'
loop_
_atom_site_label
_atom_site_type_symbol
_atom_site_fract_x
_atom_site_fract_y
_atom_site_fract_z
Rb1 Rb 0.000 0.000 0.000
Rb2 Rb 0.000 0.500 0.500
Rb3 Rb 0.500 0.000 0.500
Rb4 Rb 0.500 0.500 0.000
Ac1 Ac 0.000 0.000 0.500
Ac2 Ac 0.000 0.500 0.000
Ac3 Ac 0.500 0.000 0.000
Bi1 Bi 0.500 0.500 0.500
O1 O 0.228 0.228 0.228
O2 O 0.235 0.726 0.726
O3 O 0.274 0.274 0.765
O4 O 0.274 0.765 0.274
O5 O 0.726 0.235 0.726
O6 O 0.726 0.726 0.235
O7 O 0.765 0.274 0.274
O8 O 0.772 0.772 0.772
```

For the final energy, the calculation gives -5.951 eV/atom. The calculated volume is 21.11 Å³/atom. The space group is R-3m (166). The calculation puts the magnetic moment at 0.00 μB per cell.

Record 4
## RbAcBiO4 (PBE-GGA)

Data for RbAcBiO4 after structural relaxation.

Cell and atoms, written as CIF:
```
data_RbAcBiO4
_cell_length_a 7.467
_cell_length_b 7.467
_cell_length_c 7.467
_cell_angle_alpha 122.01
_cell_angle_beta 115.97
_cell_angle_gamma 91.83
_symmetry_space_group_name_H-M 'P 1'
_symmetry_Int_Tables_number 1
_symmetry_space_group_name_Hall 'P 1'
loop_
_atom_site_label
_atom_site_type_symbol
_atom_site_fract_x
_atom_site_fract_y
_atom_site_fract_z
Rb1 Rb 0.376 0.126 0.250
Rb2 Rb 0.624 0.874 0.750
Ac1 Ac 0.000 0.500 0.500
Ac2 Ac 0.500 0.500 0.000
Bi1 Bi 0.000 0.000 0.500
Bi2 Bi 0.000 0.500 0.000
O1 O 0.179 0.745 0.434
O2 O 0.189 0.255 0.934
O3 O 0.218 0.258 0.540
O4 O 0.218 0.678 0.960
O5 O 0.782 0.322 0.040
O6 O 0.782 0.742 0.460
O7 O 0.811 0.745 0.066
O8 O 0.821 0.255 0.566
```

For the final energy, the calculation gives -6.007 eV/atom. The calculated volume is 21.27 Å³/atom. The space group is Imma (74). The calculation puts the magnetic moment at 0.00 μB per cell.

Record 5
## Rb2Ac2BiO6 (PBE-GGA)

Data for Rb2Ac2BiO6 after structural relaxation.

Cell and atoms, written as CIF:
```
data_Rb2Ac2BiO6
_cell_length_a 6.496
_cell_length_b 6.496
_cell_length_c 7.034
_cell_angle_alpha 97.59
_cell_angle_beta 97.59
_cell_angle_gamma 119.51
_symmetry_space_group_name_H-M 'P 1'
_symmetry_Int_Tables_number 1
_symmetry_space_group_name_Hall 'P 1'
loop_
_atom_site_label
_atom_site_type_symbol
_atom_site_fract_x
_atom_site_fract_y
_atom_site_fract_z
Rb1 Rb 0.158 0.842 0.000
Rb2 Rb 0.842 0.158 0.000
Ac1 Ac 0.336 0.664 0.500
Ac2 Ac 0.664 0.336 0.500
Bi1 Bi 0.000 0.000 0.500
O1 O 0.041 0.362 0.671
O2 O 0.246 0.246 0.321
O3 O 0.362 0.041 0.671
O4 O 0.638 0.959 0.329
O5 O 0.754 0.754 0.679
O6 O 0.959 0.638 0.329
```

For the final energy, the calculation gives -6.089 eV/atom. The calculated volume is 22.66 Å³/atom. The space group is C2/m (12). The calculation puts the magnetic moment at 0.93 μB per cell.

Record 6
## Rb2AcBi2O6 (PBE-GGA)

Data for Rb2AcBi2O6 after structural relaxation.

Cell and atoms, written as CIF:
```
data_Rb2AcBi2O6
_cell_length_a 6.401
_cell_length_b 6.401
_cell_length_c 7.923
_cell_angle_alpha 112.86
_cell_angle_beta 112.86
_cell_angle_gamma 64.02
_symmetry_space_group_name_H-M 'P 1'
_symmetry_Int_Tables_number 1
_symmetry_space_group_name_Hall 'P 1'
loop_
_atom_site_label
_atom_site_type_symbol
_atom_site_fract_x
_atom_site_fract_y
_atom_site_fract_z
Rb1 Rb 0.201 0.201 0.151
Rb2 Rb 0.799 0.799 0.849
Ac1 Ac 0.000 0.000 0.500
Bi1 Bi 0.437 0.437 0.764
Bi2 Bi 0.563 0.563 0.236
O1 O 0.207 0.692 0.248
O2 O 0.242 0.242 0.534
O3 O 0.308 0.793 0.752
O4 O 0.692 0.207 0.248
O5 O 0.758 0.758 0.466
O6 O 0.793 0.308 0.752
```

For the final energy, the calculation gives -5.564 eV/atom. The calculated volume is 23.58 Å³/atom. The space group is C2/m (12). The calculation puts the magnetic moment at 0.86 μB per cell.

Record 7
## RbAc2BiO6 (PBE-GGA)

Data for RbAc2BiO6 after structural relaxation.

Cell and atoms, written as CIF:
```
data_RbAc2BiO6
_cell_length_a 6.708
_cell_length_b 6.708
_cell_length_c 6.708
_cell_angle_alpha 56.57
_cell_angle_beta 56.57
_cell_angle_gamma 56.57
_symmetry_space_group_name_H-M 'P 1'
_symmetry_Int_Tables_number 1
_symmetry_space_group_name_Hall 'P 1'
loop_
_atom_site_label
_atom_site_type_symbol
_atom_site_fract_x
_atom_site_fract_y
_atom_site_fract_z
Rb1 Rb 0.000 0.000 0.000
Ac1 Ac 0.259 0.259 0.259
Ac2 Ac 0.771 0.771 0.771
Bi1 Bi 0.462 0.462 0.462
O1 O 0.096 0.603 0.429
O2 O 0.225 0.528 0.822
O3 O 0.429 0.096 0.603
O4 O 0.528 0.822 0.225
O5 O 0.603 0.429 0.096
O6 O 0.822 0.225 0.528
```

For the final energy, the calculation gives -6.493 eV/atom. The calculated volume is 19.65 Å³/atom. The space group is R3 (146). The calculation puts the magnetic moment at 0.00 μB per cell.

Record 8
## Rb3Ac3BiO8 (PBE-GGA)

Data for Rb3Ac3BiO8 after structural relaxation.

Cell and atoms, written as CIF:
```
data_Rb3Ac3BiO8
_cell_length_a 8.005
_cell_length_b 8.005
_cell_length_c 8.005
_cell_angle_alpha 56.67
_cell_angle_beta 56.67
_cell_angle_gamma 56.67
_symmetry_space_group_name_H-M 'P 1'
_symmetry_Int_Tables_number 1
_symmetry_space_group_name_Hall 'P 1'
loop_
_atom_site_label
_atom_site_type_symbol
_atom_site_fract_x
_atom_site_fract_y
_atom_site_fract_z
Rb1 Rb 0.000 0.500 0.500
Rb2 Rb 0.500 0.000 0.500
Rb3 Rb 0.500 0.500 0.000
Ac1 Ac 0.000 0.000 0.500
Ac2 Ac 0.000 0.500 0.000
Ac3 Ac 0.500 0.000 0.000
Bi1 Bi 0.500 0.500 0.500
O1 O 0.227 0.227 0.227
O2 O 0.252 0.712 0.712
O3 O 0.288 0.288 0.748
O4 O 0.288 0.748 0.288
O5 O 0.712 0.252 0.712
O6 O 0.712 0.712 0.252
O7 O 0.748 0.288 0.288
O8 O 0.773 0.773 0.773
```

For the final energy, the calculation gives -6.159 eV/atom. The calculated volume is 22.32 Å³/atom. The space group is R-3m (166). The calculation puts the magnetic moment at 0.00 μB per cell.

Record 9
## Rb2AcBi2O7 (PBE-GGA)

Data for Rb2AcBi2O7 after structural relaxation.

Cell and atoms, written as CIF:
```
data_Rb2AcBi2O7
_cell_length_a 12.051
_cell_length_b 12.051
_cell_length_c 12.051
_cell_angle_alpha 159.33
_cell_angle_beta 159.33
_cell_angle_gamma 29.39
_symmetry_space_group_name_H-M 'P 1'
_symmetry_Int_Tables_number 1
_symmetry_space_group_name_Hall 'P 1'
loop_
_atom_site_label
_atom_site_type_symbol
_atom_site_fract_x
_atom_site_fract_y
_atom_site_fract_z
Rb1 Rb 0.194 0.194 0.000
Rb2 Rb 0.806 0.806 0.000
Ac1 Ac 0.000 0.000 0.000
Bi1 Bi 0.404 0.404 0.000
Bi2 Bi 0.596 0.596 0.000
O1 O 0.076 0.576 0.500
O2 O 0.315 0.315 0.000
O3 O 0.424 0.924 0.500
O4 O 0.500 0.500 0.000
O5 O 0.576 0.076 0.500
O6 O 0.685 0.685 0.000
O7 O 0.924 0.424 0.500
```

For the final energy, the calculation gives -5.699 eV/atom. The calculated volume is 18.16 Å³/atom. The space group is I4/mmm (139). The calculation puts the magnetic moment at 0.00 μB per cell.

Record 10
## AcReBiO6 (PBE-GGA)

Data for AcReBiO6 after structural relaxation.

Cell and atoms, written as CIF:
```
data_AcReBiO6
_cell_length_a 6.080
_cell_length_b 6.080
_cell_length_c 8.245
_cell_angle_alpha 90.00
_cell_angle_beta 90.00
_cell_angle_gamma 120.00
_symmetry_space_group_name_H-M 'P 1'
_symmetry_Int_Tables_number 1
_symmetry_space_group_name_Hall 'P 1'
loop_
_atom_site_label
_atom_site_type_symbol
_atom_site_fract_x
_atom_site_fract_y
_atom_site_fract_z
Ac1 Ac 0.333 0.667 0.250
Ac2 Ac 0.667 0.333 0.750
Re1 Re 0.333 0.667 0.750
Re2 Re 0.667 0.333 0.250
Bi1 Bi 0.000 0.000 0.000
Bi2 Bi 0.000 0.000 0.500
O1 O 0.073 0.399 0.621
O2 O 0.073 0.674 0.879
O3 O 0.326 0.399 0.879
O4 O 0.326 0.927 0.621
O5 O 0.399 0.073 0.121
O6 O 0.399 0.326 0.379
O7 O 0.601 0.674 0.621
O8 O 0.601 0.927 0.879
O9 O 0.674 0.073 0.379
O10 O 0.674 0.601 0.121
O11 O 0.927 0.326 0.121
O12 O 0.927 0.601 0.379
```

For the final energy, the calculation gives -7.491 eV/atom. The calculated volume is 14.67 Å³/atom. The space group is P-31c (163). The calculation puts the magnetic moment at 0.00 μB per cell.